Computed, not measured: a relaxed P2IrRu crystal at the GGA-PBEsol level of DFT.

- Total magnetic moment: 0.00 μB per atom
- Energy of formation: 0.21 eV/atom
- Total energy: -7.68 eV/atom
- Excess energy over the best structure of this formula in the dataset: 292 meV per atom
- Space-group type: Cmmm, No. 65
- D(E_F): 3.38 states/eV/cell

a = 2.864 Å, b = 2.864 Å, c = 7.793 Å
α = 90.00°, β = 90.00°, γ = 121.25°
Positions (direct):
P 0.000 0.000 0.244
P 0.000 0.000 0.756
Ir 0.500 0.500 0.500
Ru 0.500 0.500 0.000